# 1
DFT (SCAN) results for a PBEsol-optimized structure of Li5Pb.

a = 4.688 Å, b = 4.688 Å, c = 5.772 Å
α = 89.99°, β = 90.00°, γ = 120.00°
Element x y z (fractional)
Li 0.167 0.333 0.304
Li 0.500 0.000 0.000
Li 0.833 0.667 0.696
Pb 0.500 0.000 0.500
Li 0.167 0.333 0.758
Li 0.833 0.667 0.242

Output
Formation enthalpy at 0 K   -0.32 eV per atom
Total DFT energy (no corrections)   -14.940 eV/atom
Calculated volume   109.9 Å³/cell
Excess energy over the best structure of this formula in the dataset   0.000 eV per atom

# 2
DFT (SCAN) results for a PBEsol-optimized structure of Li8TiMn3O12.

a = 4.849 Å, b = 4.880 Å, c = 8.289 Å
α = 90.00°, β = 90.00°, γ = 90.06°
Element x y z (fractional)
Li 0.000 0.000 0.747
Li 0.000 0.500 0.768
O 0.650 0.248 0.755
Li 0.500 0.000 0.583
O 0.861 0.744 0.260
O 0.824 0.714 0.582
Li 0.500 0.500 0.929
O 0.668 0.220 0.078
O 0.139 0.256 0.260
Mn 0.500 0.500 0.597
O 0.326 0.715 0.433
Li 0.500 0.000 0.272
Li 0.000 0.000 0.438
O 0.176 0.286 0.582
O 0.674 0.285 0.433
O 0.350 0.752 0.755
O 0.180 0.218 0.928
Mn 0.000 0.500 0.421
O 0.820 0.782 0.928
Li 0.500 0.500 0.244
Mn 0.500 0.000 0.914
Li 0.000 0.500 0.077
O 0.332 0.780 0.078
Ti 0.000 0.000 0.099

Output
Total DFT energy (no corrections)   -9.249 eV/atom
Calculated volume   196.1 Å³/cell
Raw formation energy   -2.39 eV/atom

# 3
DFT (SCAN) results for a PBEsol-optimized structure of NdAl10Ru2.

a = 6.830 Å, b = 6.830 Å, c = 9.116 Å
α = 90.00°, β = 90.00°, γ = 96.87°
Element x y z (fractional)
Ru 0.500 0.000 0.500
Al 0.481 0.220 0.250
Al 0.227 0.227 0.000
Al 0.623 0.377 0.551
Al 0.840 0.160 0.399
Al 0.160 0.840 0.601
Ru 0.000 0.500 0.000
Al 0.773 0.773 0.000
Al 0.840 0.160 0.101
Al 0.220 0.481 0.750
Al 0.589 0.861 0.250
Al 0.773 0.773 0.500
Al 0.411 0.139 0.750
Al 0.861 0.589 0.750
Ru 0.500 0.000 0.000
Nd 0.125 0.875 0.250
Al 0.160 0.840 0.899
Al 0.377 0.623 0.051
Al 0.623 0.377 0.949
Nd 0.875 0.125 0.750
Al 0.139 0.411 0.250
Al 0.519 0.780 0.750
Ru 0.000 0.500 0.500
Al 0.227 0.227 0.500
Al 0.377 0.623 0.449
Al 0.780 0.519 0.250

Output
Formation enthalpy at 0 K   -0.60 eV per atom
Total DFT energy (no corrections)   -15.273 eV/atom
Calculated volume   422.2 Å³/cell

# 4
DFT (SCAN) results for a PBEsol-optimized structure of MgZrBe.

a = 3.178 Å, b = 4.351 Å, c = 4.351 Å
α = 120.00°, β = 90.00°, γ = 90.00°
Element x y z (fractional)
Mg 0.000 0.333 0.667
Be 0.000 0.000 0.000
Zr 0.500 0.667 0.333

Output
Formation enthalpy at 0 K   0.18 eV per atom
Total DFT energy (no corrections)   -13.160 eV/atom
Calculated volume   52.1 Å³/cell